1.
Here is a PBEsol-optimized structure of BaTcI3 from the Alexandria database. Energies are from meta-GGA SCAN.

Values from the calculation:
Uncorrected energy (eV per atom): -37.04
Calculated density (g cm⁻³): 3.63
ΔE_f (raw) (eV per atom): -0.07

```
data_BaTcI3
_cell_length_a 6.5589
_cell_length_b 6.5589
_cell_length_c 6.5589
_cell_angle_alpha 90.00
_cell_angle_beta 90.00
_cell_angle_gamma 90.00
_space_group_name_H-M_alt 'P m -3 m'
_space_group_IT_number 221
_space_group_name_Hall '-P 4 2 3'
loop_
_atom_site_label
_atom_site_type_symbol
_atom_site_fract_x
_atom_site_fract_y
_atom_site_fract_z
Ba1 Ba 0.0000 0.0000 0.0000
Tc1 Tc 0.5000 0.5000 0.5000
I1 I 0.0000 0.0000 0.5000
```

2.
Here is a PBEsol-optimized structure of BaZrTeI2 from the Alexandria database. Energies are from meta-GGA SCAN.

Values from the calculation:
Uncorrected energy (eV per atom): -35.85
Calculated density (g cm⁻³): 3.70
ΔE_f (raw) (eV per atom): 0.35

```
data_BaZrTeI2
_cell_length_a 6.2176
_cell_length_b 6.2176
_cell_length_c 7.0858
_cell_angle_alpha 90.00
_cell_angle_beta 90.00
_cell_angle_gamma 90.00
_space_group_name_H-M_alt 'P 4/m m m'
_space_group_IT_number 123
_space_group_name_Hall '-P 4 2'
loop_
_atom_site_label
_atom_site_type_symbol
_atom_site_fract_x
_atom_site_fract_y
_atom_site_fract_z
Ba1 Ba 0.0000 0.0000 0.0000
Zr1 Zr 0.0000 0.0000 0.5000
Te1 Te 0.5000 0.5000 0.5000
I1 I 0.0000 0.5000 0.0000
```

3.
Here is a PBEsol-optimized structure of Ba3TiI from the Alexandria database. Energies are from meta-GGA SCAN.

Values from the calculation:
Uncorrected energy (eV per atom): -34.18
Calculated density (g cm⁻³): 3.66
ΔE_f (raw) (eV per atom): 0.11

```
data_Ba3TiI
_cell_length_a 6.4333
_cell_length_b 6.4333
_cell_length_c 6.4333
_cell_angle_alpha 90.00
_cell_angle_beta 90.00
_cell_angle_gamma 90.00
_space_group_name_H-M_alt 'P m -3 m'
_space_group_IT_number 221
_space_group_name_Hall '-P 4 2 3'
loop_
_atom_site_label
_atom_site_type_symbol
_atom_site_fract_x
_atom_site_fract_y
_atom_site_fract_z
Ba1 Ba 0.0000 0.0000 0.5000
Ti1 Ti 0.5000 0.5000 0.5000
I1 I 0.0000 0.0000 0.0000
```

4.
Here is a PBEsol-optimized structure of BaTl2I2 from the Alexandria database. Energies are from meta-GGA SCAN.

Values from the calculation:
Uncorrected energy (eV per atom): -52.26
Calculated density (g cm⁻³): 6.65
ΔE_f (raw) (eV per atom): -0.71

```
data_BaTl2I2
_cell_length_a 6.3892
_cell_length_b 6.3892
_cell_length_c 9.7902
_cell_angle_alpha 90.00
_cell_angle_beta 90.00
_cell_angle_gamma 90.00
_space_group_name_H-M_alt 'I 4/m m m'
_space_group_IT_number 139
_space_group_name_Hall '-I 4 2'
loop_
_atom_site_label
_atom_site_type_symbol
_atom_site_fract_x
_atom_site_fract_y
_atom_site_fract_z
Ba1 Ba 0.0000 0.0000 0.0000
Tl1 Tl 0.0000 0.0000 0.3469
I1 I 0.0000 0.5000 0.2500
```

| no. | spin magnetization (μB/f.u.) |
| --- | --- |
| 1 | 5.99 |
| 2 | 4.00 |
| 3 | 5.99 |
| 4 | 0.00 |